DFT (PBE) results for a geometry-optimized AsOs2 structure.

crystal system: cubic
calculated total energy: -7.97 eV per atom
ρ: 15.01 Mg/m³

Lattice parameters (Å, degrees): 5.223 5.223 5.223 60.00 60.00 60.00
Last column: magnetic moment on the atom in μB.
Fractional positions:
1 Os 0.625 0.625 0.625  0.05
2 Os 0.125 0.625 0.625  0.02
3 As 0.250 0.250 0.250  0.00
4 Os 0.625 0.625 0.125  0.05
5 As 0.000 0.000 0.000  0.00
6 Os 0.625 0.125 0.625  0.04

DFT (PBE) results for a geometry-optimized As2Os structure.

crystal system: cubic
calculated total energy: -6.29 eV per atom
ρ: 3.89 Mg/m³

Lattice parameters (Å, degrees): 7.434 7.434 7.434 60.00 60.00 60.00
Fractional positions:
1 Os 0.500 0.500 0.500
2 Os 0.250 0.250 0.250
3 As 0.375 0.375 0.375
4 As 0.375 0.875 0.375
5 As 0.875 0.375 0.375
6 As 0.375 0.375 0.875

Question: Which value of calculated total energy does entry 2 give?
Answer: -6.29 eV per atom